(1)
Material: CeSc3Te6
Method: DFT, PBE-GGA
State: optimized geometry

## Properties
formation energy without anion corrections	-1240	meV/atom

Cell and atoms, written as extended XYZ:
```
20
Lattice="12.103 0.000 0.000 0.000 4.231 0.000 -4.083 0.000 11.685" Properties=species:S:1:pos:R:3 pbc="T T T"
Ce -0.217 1.058 2.357
Ce 8.237 3.173 9.328
Sc -0.520 1.058 6.825
Sc -0.211 3.173 11.663
Sc 3.935 1.058 3.975
Sc 4.085 3.173 7.710
Sc 8.230 1.058 0.022
Sc 8.540 3.173 4.860
Te -0.641 3.173 4.794
Te -2.468 1.058 11.309
Te -0.613 3.173 8.755
Te 2.317 3.173 2.654
Te 2.424 1.058 6.542
Te 5.328 1.058 1.368
Te 2.692 3.173 10.317
Te 5.596 3.173 5.143
Te 5.702 1.058 9.031
Te 8.633 1.058 2.930
Te 10.487 3.173 0.376
Te 8.661 1.058 6.891
```

(2)
Material: Ce5Sc3Te8
Method: DFT, PBE-GGA
State: optimized geometry

## Properties
formation energy without anion corrections	-1254	meV/atom

Cell and atoms, written as extended XYZ:
```
16
Lattice="4.348 2.510 7.212 -4.348 2.510 7.212 0.000 -5.020 7.212" Properties=species:S:1:pos:R:3 pbc="T T T"
Ce 0.000 0.000 0.000
Ce -2.174 -1.255 7.212
Ce -2.174 1.255 14.424
Ce 0.000 2.510 7.212
Ce 0.000 0.000 10.818
Sc -4.348 0.000 10.818
Sc -2.174 1.255 3.606
Sc 2.174 1.255 3.606
Te -2.249 -1.298 12.496
Te 0.000 0.000 5.229
Te 0.000 -2.597 9.139
Te -2.249 1.298 9.139
Te 2.249 -1.298 12.496
Te 0.000 2.597 12.496
Te 0.000 0.000 16.407
Te 2.249 1.298 9.139
```

(3)
Material: CeScTe2
Method: DFT, PBE-GGA
State: optimized geometry

## Properties
polymorph energy (0 for the lowest one)	5	meV/atom
formation energy without anion corrections	-1230	meV/atom

Cell and atoms, written as extended XYZ:
```
4
Lattice="2.093 1.208 7.575 -2.093 1.208 7.575 0.000 -2.417 7.575" Properties=species:S:1:pos:R:3 pbc="T T T"
Ce 0.000 0.000 0.000
Sc 0.000 0.000 3.906
Te 0.000 0.000 13.103
Te 0.000 0.000 17.295
```

(4)
Material: Ce2ScTe4
Method: DFT, PBE-GGA
State: optimized geometry

## Properties
formation energy without anion corrections	-1192	meV/atom

Cell and atoms, written as extended XYZ:
```
14
Lattice="2.091 -7.368 0.000 2.091 7.368 0.000 0.000 0.000 15.150" Properties=species:S:1:pos:R:3 pbc="T T T"
Ce 2.091 5.367 8.689
Ce 2.091 5.367 14.035
Ce 2.091 -5.367 1.114
Ce 2.091 -5.367 6.460
Sc 2.091 1.885 11.362
Sc 2.091 -1.885 3.787
Te 2.091 7.111 11.362
Te 2.091 4.237 1.946
Te 2.091 4.237 5.629
Te 2.091 0.000 0.000
Te 2.091 0.000 7.575
Te 2.091 -4.237 9.520
Te 2.091 -4.237 13.204
Te 2.091 -7.111 3.787
```

(5)
Material: CeScTe2
Method: DFT, PBE-GGA
State: optimized geometry

## Properties
polymorph energy (0 for the lowest one)	189	meV/atom
formation energy without anion corrections	-1045	meV/atom

Cell and atoms, written as extended XYZ:
```
4
Lattice="-2.006 2.006 7.491 2.006 -2.006 7.491 2.006 2.006 -7.491" Properties=species:S:1:pos:R:3 pbc="T T T"
Ce 0.000 0.000 0.000
Sc 2.006 0.000 3.746
Te 0.000 0.000 5.737
Te 0.000 0.000 9.246
```

(6)
Material: CeScTe3
Method: DFT, PBE-GGA
State: optimized geometry

## Properties
formation energy without anion corrections	-1276	meV/atom

Cell and atoms, written as extended XYZ:
```
20
Lattice="9.183 0.000 0.000 0.000 4.223 0.000 0.000 0.000 15.680" Properties=species:S:1:pos:R:3 pbc="T T T"
Ce 1.294 1.056 3.059
Ce 3.298 3.167 10.899
Ce 5.886 1.056 4.781
Ce 7.889 3.167 12.621
Sc 1.609 3.167 7.210
Sc 2.983 1.056 15.049
Sc 6.200 3.167 0.630
Sc 7.575 1.056 8.470
Te 0.026 3.167 9.658
Te 1.404 1.056 12.542
Te 1.462 3.167 0.661
Te 3.129 1.056 8.500
Te 3.188 3.167 4.702
Te 4.566 1.056 1.818
Te 4.618 3.167 13.861
Te 5.995 1.056 10.978
Te 6.054 3.167 7.179
Te 7.721 1.056 15.019
Te 7.780 3.167 3.138
Te 9.157 1.056 6.022
```

(7)
Material: CeScTe2
Method: DFT, PBE-GGA
State: optimized geometry

## Properties
polymorph energy (0 for the lowest one)	150	meV/atom
formation energy without anion corrections	-1085	meV/atom

Cell and atoms, written as extended XYZ:
```
4
Lattice="5.289 0.000 0.000 0.000 5.289 0.000 0.000 0.000 3.789" Properties=species:S:1:pos:R:3 pbc="T T T"
Ce 0.000 0.000 0.000
Sc 2.644 2.644 0.000
Te 0.000 2.644 1.895
Te 2.644 0.000 1.895
```

(8)
Material: CeScTe2
Method: DFT, PBE-GGA
State: optimized geometry

## Properties
polymorph energy (0 for the lowest one)	175	meV/atom
formation energy without anion corrections	-1060	meV/atom

Cell and atoms, written as extended XYZ:
```
4
Lattice="0.000 3.761 3.761 3.761 0.000 3.761 3.761 3.761 0.000" Properties=species:S:1:pos:R:3 pbc="T T T"
Ce 0.000 0.000 0.000
Sc 3.761 3.761 3.761
Te 1.880 1.880 1.880
Te 5.641 5.641 5.641
```

Density values, unit g cm⁻³, following the record order: 5.8; 6.5; 6.4; 5.9; 6.1; 6.2; 6.9; 6.9.
Total moment values, unit μB per cell, following the record order: 1.9; 5.9; 1.4; 5.1; 1.9; 3.9; 2.3; 2.3.